Here is an optimized crystal structure of BaY2As from Alexandria. Energies are from PBE-GGA.

Unit cell a=9.3158 b=9.3158 c=6.7407 alpha=90.00 beta=90.00 gamma=90.00
Positions (direct):
Ba (0.0000, 0.0000, 0.0000)
Ba (0.0000, 0.5000, 0.2500)
Ba (0.5000, 0.0000, 0.7500)
Ba (0.5000, 0.5000, 0.5000)
Y (0.1525, 0.2500, 0.6250)
Y (0.2500, 0.6525, 0.8750)
Y (0.2500, 0.8475, 0.3750)
Y (0.3475, 0.2500, 0.1250)
Y (0.6525, 0.7500, 0.1250)
Y (0.7500, 0.1525, 0.3750)
Y (0.7500, 0.3475, 0.8750)
Y (0.8475, 0.7500, 0.6250)
As (0.0000, 0.0000, 0.5000)
As (0.0000, 0.5000, 0.7500)
As (0.5000, 0.0000, 0.2500)
As (0.5000, 0.5000, 0.0000)

Calculated values
Its space group is I-42d (122). As for the formation energy from the elements: -317 meV per atom. As for the crystal system: tetragonal. For the total magnetic moment, the calculation gives 2.20 μB/cell.

---

Here is an optimized crystal structure of NiAu2 from Alexandria. Energies are from PBE-GGA.

Unit cell a=10.1668 b=2.9141 c=6.7976 alpha=90.00 beta=107.68 gamma=90.00
Positions (direct):
Ni (0.0000, 0.0000, 0.0000)
Ni (0.1572, 0.5000, 0.2724)
Ni (0.5000, 0.5000, 0.0000)
Ni (0.6572, 0.0000, 0.2724)
Au (0.1086, 0.5000, 0.7633)
Au (0.2990, 0.0000, 0.0754)
Au (0.3099, 0.0000, 0.6181)
Au (0.4794, 0.5000, 0.4000)
Au (0.6086, 0.0000, 0.7633)
Au (0.7990, 0.5000, 0.0754)
Au (0.8099, 0.5000, 0.6181)
Au (0.9794, 0.0000, 0.4000)

Calculated values
Its space group is Cm (8). As for the formation energy from the elements: 134 meV per atom. As for the crystal system: monoclinic. For the total magnetic moment, the calculation gives 1.81 μB/cell.

---

Here is an optimized crystal structure of AcLa2TbS4 from Alexandria. Energies are from PBE-GGA.

Unit cell a=7.1692 b=4.1129 c=7.2208 alpha=90.00 beta=109.14 gamma=90.00
Positions (direct):
Ac (0.0000, 0.0000, 0.0000)
La (0.5000, 0.0000, 0.5000)
La (0.5000, 0.5000, 0.0000)
Tb (0.0000, 0.5000, 0.5000)
S (0.2394, 0.0000, 0.7330)
S (0.2495, 0.5000, 0.2643)
S (0.7505, 0.5000, 0.7357)
S (0.7606, 0.0000, 0.2670)

Calculated values
Its space group is P2/m (10). As for the crystal system: monoclinic. The formation energy without anion corrections comes out at -47.608 kcal/mol of atoms. For the total magnetic moment, the calculation gives 0.00 μB/cell.

---

Which value of total magnetic moment does entry 2 give?
1.81 μB/cell